# 1
DFT (PBE) results for a relaxed TlCu2AgF6 crystal.

Geometry as POSCAR:
```
TlCu2AgF6
1.0
6.099 -0.296 -0.308
1.752 7.145 1.547
1.752 1.281 7.197
Tl Cu Ag F
2 4 2 12
direct
0.250 0.811 0.189 Tl
0.750 0.189 0.811 Tl
0.381 0.790 0.731 Cu
0.119 0.269 0.210 Cu
0.619 0.210 0.269 Cu
0.881 0.731 0.790 Cu
0.250 0.346 0.654 Ag
0.750 0.654 0.346 Ag
0.213 0.000 0.788 F
0.287 0.212 0.000 F
0.787 0.000 0.212 F
0.713 0.788 0.000 F
0.344 0.082 0.370 F
0.156 0.630 0.918 F
0.656 0.918 0.630 F
0.844 0.370 0.082 F
0.022 0.659 0.581 F
0.478 0.419 0.341 F
0.978 0.341 0.419 F
0.522 0.581 0.659 F
```

Calculated values
- formation energy from raw total energies (eV/f.u.) = -14.5
- SG = C2/c (15)

=====

# 2
DFT (PBE) results for a relaxed SmDy2Ge2Pt7 crystal.

Geometry as POSCAR:
```
SmDy2Ge2Pt7
1.0
4.079 0.022 -0.054
0.027 4.079 -0.054
1.823 1.821 13.870
Sm Dy Ge Pt
1 2 2 7
direct
0.000 0.000 0.000 Sm
0.873 0.873 0.359 Dy
0.127 0.127 0.641 Dy
0.605 0.605 0.740 Ge
0.395 0.395 0.260 Ge
0.500 0.500 0.000 Pt
0.361 0.361 0.434 Pt
0.639 0.639 0.566 Pt
0.935 0.435 0.159 Pt
0.435 0.935 0.159 Pt
0.565 0.065 0.841 Pt
0.065 0.565 0.841 Pt
```

Calculated values
- energy of formation (meV/atom) = -949
- SG = C2/m (12)

=====

# 3
DFT (PBE) results for a relaxed RbTlS2 crystal.

Geometry as POSCAR:
```
RbTlS2
1.0
-3.422 -6.525 -0.611
0.303 -0.846 7.338
-5.084 -1.870 3.718
Tl S Rb
2 4 2
direct
0.750 0.750 0.500 Tl
0.250 0.250 0.500 Tl
0.750 0.250 0.000 S
0.250 0.750 0.000 S
0.250 0.250 0.000 S
0.750 0.750 0.000 S
0.750 0.250 0.500 Rb
0.250 0.750 0.500 Rb
```

Calculated values
- E above lowest polymorph (meV per atom) = 515
- formation energy from raw total energies (eV/f.u.) = -0.5
- SG = P4/mmm (123)

=====

# 4
DFT (PBE) results for a relaxed Cs5CoCl8 crystal.

Geometry as POSCAR:
```
Cs5CoCl8
1.0
8.853 0.000 -2.473
-4.687 7.161 -3.352
0.522 0.000 9.177
Cs Co Cl
5 1 8
direct
0.028 0.422 0.181 Cs
0.819 0.847 0.241 Cs
0.759 0.578 0.606 Cs
0.500 0.000 0.500 Cs
0.394 0.153 0.972 Cs
0.250 0.500 0.750 Co
0.172 0.676 0.904 Cl
0.096 0.268 0.772 Cl
0.704 0.186 0.292 Cl
0.708 0.412 0.894 Cl
0.482 0.588 0.296 Cl
0.504 0.732 0.828 Cl
0.228 0.324 0.496 Cl
0.106 0.814 0.518 Cl
```

Calculated values
- formation energy from raw total energies (eV/f.u.) = -21.1
- SG = I-4 (82)